# KUCoO5, relaxed, DFT GGA+U
# total energy: -0.5511 Ry per atom
# total moment: 16.1 Bohr magnetons per cell
# crystal system: monoclinic
data_KUCoO5
_cell_length_a 7.4492
_cell_length_b 9.7973
_cell_length_c 8.0273
_cell_angle_alpha 90.00
_cell_angle_beta 116.52
_cell_angle_gamma 90.00
_space_group_name_H-M_alt 'C 1 2/c 1'
_space_group_IT_number 15
loop_
_space_group_symop_operation_xyz
'x,y,z'
'-x,-y,-z'
'-x,y,-z+1/2'
'x,-y,z+1/2'
'x+1/2,y+1/2,z'
'-x+1/2,-y+1/2,-z'
'-x+1/2,y+1/2,-z+1/2'
'x+1/2,-y+1/2,z+1/2'
loop_
_atom_site_label
_atom_site_type_symbol
_atom_site_fract_x
_atom_site_fract_y
_atom_site_fract_z
K1 K 0.0000 0.1678 0.2500
U1 U 0.0000 0.5000 0.0000
Co1 Co 0.0000 0.1877 0.7500
O1 O 0.0000 0.4338 0.2500
O2 O 0.0816 0.3046 0.6107
O3 O 0.2037 0.0655 0.8918